# UTl2CrO8 (GGA+U, relaxed)
data_UTl2CrO8
_cell_length_a 6.0276
_cell_length_b 6.0276
_cell_length_c 6.0276
_cell_angle_alpha 113.93
_cell_angle_beta 113.93
_cell_angle_gamma 100.88
_space_group_name_H-M_alt 'P 1'
_space_group_IT_number 1
loop_
_space_group_symop_operation_xyz
'x,y,z'
loop_
_atom_site_label
_atom_site_type_symbol
_atom_site_fract_x
_atom_site_fract_y
_atom_site_fract_z
U1 U 0.0000 0.0000 0.0000
Tl1 Tl 0.2500 0.7500 0.5000
Tl2 Tl 0.5000 0.5000 0.0000
Cr1 Cr 0.7500 0.2500 0.5000
O1 O 0.0288 0.3369 0.3081
O2 O 0.0288 0.7207 0.6919
O3 O 0.0688 0.2734 0.7954
O4 O 0.2793 0.9712 0.3081
O5 O 0.4779 0.2734 0.2046
O6 O 0.6631 0.9712 0.6919
O7 O 0.7266 0.5221 0.7954
O8 O 0.7266 0.9312 0.2046
# space group	I-4m2 (119)
# energy	-6.6390	eV/atom